The following is a PBE calculation of a relaxed structure of SiPPb, from Alexandria via LeMat-Bulk.

```
data_SiPPb
_chemical_formula_sum 'Si2 P2 Pb2'
_symmetry_space_group_name_H-M 'I 4 m m'
_symmetry_Int_Tables_number 107
_symmetry_space_group_name_Hall 'I 4 -2'
_cell_length_a 3.350
_cell_length_b 3.350
_cell_length_c 11.261
_cell_angle_alpha 90.00
_cell_angle_beta 90.00
_cell_angle_gamma 90.00
loop_
_atom_site_label
_atom_site_type_symbol
_atom_site_fract_x
_atom_site_fract_y
_atom_site_fract_z
_atom_site_occupancy
Si1 Si 0.000 0.000 0.000 1
P1 P 0.000 0.000 0.436 1
Pb1 Pb 0.000 0.000 0.697 1
```

Output
Formation energy (no corrections) in eV/atom: 0.234
ρ in Mg/m³: 7.0
Distance to the lowest polymorph of the same formula in meV per atom: 159.8